YRhAu: optimized geometry, PBE.

## Properties
- N(E_F): 0.907 states/eV/atom
- Calculated formation energy: -583 meV per atom
- VASP energy: -18.8 eV per cell
- Density: 10.30 g/cm3

a b c (Å): 4.5627 4.5627 3.4770
angles (deg): 90.00 90.00 120.00
With the nearest neighbours (Å) after each atom.
Space group P-6m2 (No. 187)
Inequivalent atoms, fractional coordinates:
Y  0.0000  0.0000  0.0000 (multiplicity 1)  6 Rh 3.16, 6 Au 3.16, 2 Y 3.48
Rh  0.3333  0.6667  0.5000 (multiplicity 1)  3 Au 2.63
Au  0.6667  0.3333  0.5000 (multiplicity 1)  3 Rh 2.63

AcLaGeN: optimized geometry, PBE.

## Properties
- N(E_F): 0.975 states/eV/atom
- VASP energy: -51.2 eV per cell
- Density: 6.97 g/cm3
- Uncorrected formation energy: -3.63 eV per formula unit

a b c (Å): 4.8092 4.8092 9.3227
angles (deg): 90.00 90.00 90.00
With the nearest neighbours (Å) after each atom.
Space group P4/nmm (No. 129, origin choice 2)
Inequivalent atoms, fractional coordinates:
Ac  0.2500  0.2500  0.1587 (multiplicity 2)  1 N 2.40
La  0.2500  0.7500  0.5000 (multiplicity 2)  4 N 2.53
Ge  0.2500  0.2500  0.7917 (multiplicity 2)  5 Ac 3.42-3.43, 1 N 3.50, 4 La 3.63
N  0.2500  0.2500  0.4163 (multiplicity 2)  1 Ac 2.40, 4 La 2.53

Er5OsAu2: optimized geometry, PBE.

## Properties
- N(E_F): 0.832 states/eV/atom
- Calculated formation energy: -578 meV per atom
- VASP energy: -90.4 eV per cell
- Density: 12.07 g/cm3

a b c (Å): 7.0142 11.7699 4.7360
angles (deg): 90.00 90.00 90.00
With the nearest neighbours (Å) after each atom.
Space group Pbam (No. 55)
Inequivalent atoms, fractional coordinates:
Er  0.0000  0.0000  0.0000 (multiplicity 2)  4 Au 3.08, 4 Er 3.44
Er  0.1519  0.2911  0.0000 (multiplicity 4)  1 Os 2.68
Er  0.1755  0.5881  0.5000 (multiplicity 4)  2 Os 2.86, 2 Au 2.92-3.04
Os  0.0000  0.5000  0.0000 (multiplicity 2)  6 Er 2.68-2.86
Au  0.0732  0.8386  0.5000 (multiplicity 4)  8 Er 2.92-3.23

CsKIN2: optimized geometry, PBE.

## Properties
- N(E_F): 0.525 states/eV/atom
- VASP energy: -15.3 eV per cell
- Density: 2.45 g/cm3
- Uncorrected formation energy: 4.85 eV per formula unit
- Energy above the lowest structure with this stoichiometry: 0 meV per atom

a b c (Å): 5.6025 5.6025 7.0524
angles (deg): 90.00 90.00 90.00
With the nearest neighbours (Å) after each atom.
Space group P4/mmm (No. 123)
Inequivalent atoms, fractional coordinates:
Cs  0.0000  0.0000  0.0000 (multiplicity 1)  4 I 3.96
K  0.5000  0.5000  0.5000 (multiplicity 1)  4 N 2.80
I  0.5000  0.5000  0.0000 (multiplicity 1)  2 K 3.53
N  0.0000  0.5000  0.5000 (multiplicity 2)  2 K 2.80

ThInTeN: optimized geometry, PBE.

## Properties
- N(E_F): 0.601 states/eV/atom
- VASP energy: -52.0 eV per cell
- Density: 7.95 g/cm3
- Uncorrected formation energy: -4.35 eV per formula unit

a b c (Å): 4.1909 4.1909 11.6204
angles (deg): 90.00 90.00 90.00
With the nearest neighbours (Å) after each atom.
Space group P4/nmm (No. 129, origin choice 2)
Inequivalent atoms, fractional coordinates:
Th  0.2500  0.2500  0.0958 (multiplicity 2)  4 N 2.37
In  0.2500  0.7500  0.5000 (multiplicity 2)  4 In 2.96
Te  0.2500  0.2500  0.7349 (multiplicity 2)  4 In 3.44, 4 Th 3.56, 4 N 3.73
N  0.2500  0.7500  0.0000 (multiplicity 2)  4 Th 2.37

CaCdNi: optimized geometry, PBE.

## Properties
- N(E_F): 0.575 states/eV/atom
- Calculated formation energy: -225 meV per atom
- VASP energy: -18.7 eV per cell
- Density: 5.26 g/cm3

a b c (Å): 4.1376 5.2812 6.5797
angles (deg): 102.01 108.20 90.02
With the nearest neighbours (Å) after each atom.
Space group P-1 (No. 2)
Inequivalent atoms, fractional coordinates:
Ca  0.1308  0.3118  0.2615 (multiplicity 2)  4 Ni 2.76-3.07
Cd  0.4142  0.2321  0.8285 (multiplicity 2)  3 Ni 2.65-2.69
Ni  0.2255  0.8857  0.4506 (multiplicity 2)  2 Ni 2.41, 3 Cd 2.65-2.69

> What is the VASP energy in the fourth record?

-15.3 eV per cell

> Which value of N(E_F) does entry 1 give?

0.907 states/eV/atom